1.
## Zr2TiTc2 (PBE-GGA)

Data for a relaxed Zr2TiTc2 crystal.

As for the energy above the most stable polymorph in this dataset: 103 meV/atom. The calculation puts the spin magnetization at 0.0 Bohr magnetons per cell. The calculation puts the calculated formation energy at -0.100 eV per atom. The value obtained for the calculated total energy is -9.245 eV per atom. As for the space group: No. 127.

Unit cell a=6.516 b=6.516 c=4.437 alpha=90.00 beta=90.00 gamma=90.00
Positions (direct):
Tc 0.360 0.860 0.000
Tc 0.860 0.640 0.000
Tc 0.640 0.140 0.000
Tc 0.140 0.360 0.000
Zr 0.177 0.677 0.500
Zr 0.677 0.823 0.500
Zr 0.823 0.323 0.500
Zr 0.323 0.177 0.500
Ti 0.000 0.000 0.000
Ti 0.500 0.500 0.000

2.
## TaTi6Mo2 (PBE-GGA)

Data for a relaxed TaTi6Mo2 crystal.

The calculation puts the spin magnetization at 0.0 Bohr magnetons per cell. The calculation puts the calculated formation energy at -0.071 eV per atom. The value obtained for the calculated total energy is -9.058 eV per atom. As for the space group: No. 12.

Unit cell a=3.218 b=5.373 c=9.610 alpha=74.10 beta=80.36 gamma=72.57
Positions (direct):
Ta 0.000 0.000 0.000
Ti 0.679 0.521 0.121
Ti 0.321 0.479 0.879
Ti 0.316 0.791 0.577
Ti 0.988 0.688 0.336
Ti 0.012 0.312 0.664
Ti 0.684 0.209 0.423
Mo 0.343 0.097 0.218
Mo 0.657 0.903 0.782

3.
## Ca2SmThS4 (PBE-GGA)

Data for a relaxed Ca2SmThS4 crystal.

The calculation puts the spin magnetization at 0.0 Bohr magnetons per cell. Its formation energy without anion corrections is -1.974 eV/atom. The value obtained for the calculated total energy is -6.055 eV per atom. As for the space group: No. 10.

Unit cell a=3.967 b=6.890 c=7.116 alpha=108.68 beta=90.00 gamma=90.00
Positions (direct):
Ca 0.500 0.000 0.500
Ca 0.000 0.500 0.500
Sm 0.000 0.000 0.000
Th 0.500 0.500 0.000
S 0.500 0.251 0.254
S 0.500 0.749 0.746
S 0.000 0.247 0.743
S 0.000 0.753 0.257

4.
## Tb2PrHo5 (PBE-GGA)

Data for a relaxed Tb2PrHo5 crystal.

As for the energy above the most stable polymorph in this dataset: 0 meV/atom. The calculation puts the spin magnetization at 0.0 Bohr magnetons per cell. The calculation puts the calculated formation energy at 0.018 eV per atom. The value obtained for the calculated total energy is -4.598 eV per atom. As for the space group: No. 55.

Unit cell a=5.017 b=7.120 c=14.245 alpha=90.00 beta=90.00 gamma=90.00
Positions (direct):
Tb 0.500 0.252 0.626
Tb 0.500 0.748 0.374
Tb 0.500 0.248 0.126
Tb 0.500 0.752 0.874
Pr 0.000 0.000 0.500
Pr 0.000 0.500 0.000
Ho 0.000 0.000 0.000
Ho 0.000 0.500 0.500
Ho 0.000 0.501 0.749
Ho 0.000 0.499 0.251
Ho 0.000 0.999 0.249
Ho 0.000 0.001 0.751
Ho 0.500 0.250 0.874
Ho 0.500 0.750 0.126
Ho 0.500 0.250 0.374
Ho 0.500 0.750 0.626

5.
## KTi2Ir (PBE-GGA)

Data for a relaxed KTi2Ir crystal.

As for the energy above the most stable polymorph in this dataset: 0 meV/atom. The calculation puts the spin magnetization at 0.0 Bohr magnetons per cell. The calculation puts the calculated formation energy at 0.517 eV per atom. The value obtained for the calculated total energy is -5.920 eV per atom. As for the space group: No. 225.

Unit cell a=4.669 b=4.669 c=4.669 alpha=60.00 beta=60.00 gamma=60.00
Positions (direct):
K 0.000 0.000 0.000
Ir 0.500 0.500 0.500
Ti 0.250 0.250 0.250
Ti 0.750 0.750 0.750

6.
## Rb3Pr (PBE-GGA)

Data for a relaxed Rb3Pr crystal.

As for the energy above the most stable polymorph in this dataset: 0 meV/atom. The calculation puts the spin magnetization at 3.4 Bohr magnetons per cell. The calculation puts the calculated formation energy at 0.572 eV per atom. The value obtained for the calculated total energy is -1.349 eV per atom. As for the space group: No. 194.

Unit cell a=9.102 b=9.102 c=7.502 alpha=90.00 beta=90.00 gamma=120.00
Positions (direct):
Rb 0.173 0.345 0.250
Rb 0.655 0.827 0.250
Rb 0.173 0.827 0.250
Rb 0.827 0.655 0.750
Rb 0.345 0.173 0.750
Rb 0.827 0.173 0.750
Pr 0.333 0.667 0.750
Pr 0.667 0.333 0.250

7.
## BaTa2In (PBE-GGA)

Data for a relaxed BaTa2In crystal.

As for the energy above the most stable polymorph in this dataset: 498 meV/atom. The calculation puts the spin magnetization at 0.3 Bohr magnetons per cell. The calculation puts the calculated formation energy at 0.882 eV per atom. The value obtained for the calculated total energy is -6.210 eV per atom. As for the space group: No. 166.

Unit cell a=11.491 b=11.491 c=11.491 alpha=15.57 beta=15.57 gamma=15.57
Positions (direct):
Ba 0.250 0.250 0.250
In 0.750 0.750 0.750
Ta 0.011 0.011 0.011
Ta 0.489 0.489 0.489

8.
## SrPrP2Pd2 (PBE-GGA)

Data for a relaxed SrPrP2Pd2 crystal.

The calculation puts the spin magnetization at 0.0 Bohr magnetons per cell. The calculation puts the calculated formation energy at -1.138 eV per atom. The value obtained for the calculated total energy is -5.749 eV per atom. As for the space group: No. 164.

Unit cell a=4.211 b=4.211 c=8.408 alpha=90.00 beta=90.00 gamma=120.00
Positions (direct):
Sr 0.000 0.000 0.000
Pr 0.000 0.000 0.500
P 0.333 0.667 0.266
P 0.667 0.333 0.734
Pd 0.333 0.667 0.742
Pd 0.667 0.333 0.258

9.
## TaZnPd6 (PBE-GGA)

Data for a relaxed TaZnPd6 crystal.

The calculation puts the spin magnetization at 0.0 Bohr magnetons per cell. The calculation puts the calculated formation energy at -0.474 eV per atom. The value obtained for the calculated total energy is -6.009 eV per atom. As for the space group: No. 123.

Unit cell a=3.957 b=3.957 c=7.817 alpha=90.00 beta=90.00 gamma=90.00
Positions (direct):
Ta 0.000 0.000 0.500
Zn 0.000 0.000 0.000
Pd 0.500 0.500 0.000
Pd 0.500 0.500 0.500
Pd 0.500 0.000 0.253
Pd 0.500 0.000 0.747
Pd 0.000 0.500 0.253
Pd 0.000 0.500 0.747

10.
## Nd8Tm6Th (PBE-GGA)

Data for a relaxed Nd8Tm6Th crystal.

The calculation puts the spin magnetization at 0.0 Bohr magnetons per cell. The calculation puts the calculated formation energy at 0.127 eV per atom. The value obtained for the calculated total energy is -4.699 eV per atom. As for the space group: No. 148.

Unit cell a=8.747 b=8.747 c=8.747 alpha=62.48 beta=62.48 gamma=62.48
Positions (direct):
Nd 0.115 0.715 0.759
Nd 0.241 0.885 0.285
Nd 0.285 0.241 0.885
Nd 0.578 0.578 0.578
Nd 0.422 0.422 0.422
Nd 0.715 0.759 0.115
Nd 0.759 0.115 0.715
Nd 0.885 0.285 0.241
Tm 0.906 0.464 0.748
Tm 0.252 0.094 0.536
Tm 0.536 0.252 0.094
Tm 0.464 0.748 0.906
Tm 0.748 0.906 0.464
Tm 0.094 0.536 0.252
Th 0.000 0.000 0.000

11.
## Zn2SO4 (PBE-GGA)

Data for a relaxed Zn2SO4 crystal.

As for the energy above the most stable polymorph in this dataset: 0 meV/atom. The calculation puts the spin magnetization at 0.0 Bohr magnetons per cell. Its formation energy without anion corrections is -0.760 eV/atom. The value obtained for the calculated total energy is -4.547 eV per atom. As for the space group: No. 121.

Unit cell a=4.820 b=4.820 c=5.477 alpha=116.11 beta=116.11 gamma=90.00
Positions (direct):
Zn 0.750 0.250 0.500
Zn 0.250 0.750 0.500
S 0.500 0.500 0.000
O 0.841 0.418 0.259
O 0.418 0.841 0.259
O 0.582 0.582 0.741
O 0.159 0.159 0.741

12.
## NdDy4Ho2Tm (PBE-GGA)

Data for a relaxed NdDy4Ho2Tm crystal.

The calculation puts the spin magnetization at 6.0 Bohr magnetons per cell. The calculation puts the calculated formation energy at 0.437 eV per atom. The value obtained for the calculated total energy is -4.163 eV per atom. As for the space group: No. 15.

Unit cell a=9.471 b=9.471 c=11.734 alpha=128.28 beta=128.28 gamma=88.68
Positions (direct):
Nd 0.000 0.500 0.000
Nd 0.000 0.500 0.500
Dy 0.250 0.753 0.002
Dy 0.747 0.250 0.498
Dy 0.253 0.750 0.502
Dy 0.750 0.247 0.998
Dy 0.746 0.750 0.997
Dy 0.750 0.754 0.503
Dy 0.250 0.246 0.497
Dy 0.254 0.250 0.003
Ho 0.500 0.000 0.000
Ho 0.500 0.000 0.500
Ho 0.000 0.000 0.500
Ho 0.500 0.500 0.000
Tm 0.500 0.500 0.500
Tm 0.000 0.000 0.000